Record 1
Entry from the Alexandria database: a relaxed structure of Sr5CeSb4 (PBE).

Values from the calculation:
E_form (uncorrected), meV/atom: -874
Magnetic moment, μB/cell: 2.02

```
Sr5CeSb4
1.0
4.918 0.000 0.000
0.000 8.664 -1.443
-2.459 -2.736 10.201
Sr Ce Sb
5 1 4
Direct
0.833 0.590 0.665
0.833 0.075 0.665
0.167 0.925 0.335
0.500 0.500 0.000
0.167 0.410 0.335
0.500 0.000 0.000
0.305 0.804 0.609
0.000 0.757 0.000
0.695 0.196 0.391
0.000 0.243 0.000
```

***

Record 2
Entry from the Alexandria database: a relaxed structure of SrCeSb2 (PBE).

Values from the calculation:
E_form (uncorrected), meV/atom: -990
Relative energy among the computed polymorphs, kJ per mole of atoms: 1.9
Magnetic moment, μB/cell: 0.29

```
SrCeSb2
1.0
4.590 0.000 0.000
0.000 6.494 0.000
0.000 0.000 9.313
Sr Ce Sb
2 2 4
Direct
0.000 0.500 0.880
0.500 0.000 0.120
0.500 0.000 0.626
0.000 0.500 0.374
0.000 0.000 0.850
0.000 0.000 0.393
0.500 0.500 0.607
0.500 0.500 0.150
```

***

Record 3
Entry from the Alexandria database: a relaxed structure of SrCeSb2 (PBE).

Values from the calculation:
E_form (uncorrected), meV/atom: -1010
Relative energy among the computed polymorphs, kJ per mole of atoms: 0.0
Magnetic moment, μB/cell: 0.14

```
SrCeSb2
1.0
-4.025 0.281 2.238
-0.251 -1.182 4.453
0.170 6.803 4.206
Sb Ce Sr
2 1 1
Direct
0.259 0.259 0.223
0.741 0.741 0.777
0.000 0.000 0.000
0.500 0.500 0.500
```

***

Record 4
Entry from the Alexandria database: a relaxed structure of Sr3CeTh2Sb6 (PBE).

Values from the calculation:
E_form (uncorrected), meV/atom: -1017
Magnetic moment, μB/cell: 0.10

```
Sr3CeTh2Sb6
1.0
-7.802 1.774 0.075
2.524 -6.796 -3.386
1.003 -1.934 7.782
Sr Ce Th Sb
3 1 2 6
Direct
0.167 0.833 0.500
0.833 0.167 0.500
0.500 0.500 0.500
0.000 0.000 0.000
0.334 0.666 0.000
0.666 0.334 0.000
0.924 0.594 0.772
0.746 0.746 0.228
0.076 0.406 0.228
0.594 0.924 0.772
0.254 0.254 0.772
0.406 0.076 0.228
```

***

Record 5
Entry from the Alexandria database: a relaxed structure of Sr3Ce2TmSb6 (PBE).

Values from the calculation:
E_form (uncorrected), meV/atom: -976
Magnetic moment, μB/cell: 0.00

```
Sr3Ce2TmSb6
1.0
7.917 -0.003 0.000
-3.960 6.856 0.000
-1.320 -2.286 7.571
Sr Ce Tm Sb
3 2 1 6
Direct
0.167 0.833 0.500
0.833 0.167 0.500
0.500 0.500 0.500
0.334 0.666 0.000
0.666 0.334 0.000
0.000 0.000 0.000
0.926 0.595 0.778
0.744 0.744 0.223
0.074 0.405 0.222
0.595 0.926 0.778
0.256 0.256 0.777
0.405 0.074 0.222
```

***

Record 6
Entry from the Alexandria database: a relaxed structure of Sr3Ce2ZrSb6 (PBE).

Values from the calculation:
E_form (uncorrected), meV/atom: -937
Magnetic moment, μB/cell: 0.28

```
Sr3Ce2ZrSb6
1.0
7.814 -0.003 -0.002
-3.908 6.766 -0.002
-1.305 -2.260 7.577
Sr Ce Zr Sb
3 2 1 6
Direct
0.171 0.829 0.500
0.829 0.171 0.500
0.500 0.500 0.500
0.334 0.666 0.000
0.666 0.334 0.000
0.000 0.000 0.000
0.927 0.606 0.781
0.754 0.754 0.222
0.073 0.394 0.219
0.606 0.927 0.781
0.246 0.246 0.778
0.394 0.073 0.219
```

***

Record 7
Entry from the Alexandria database: a relaxed structure of Tb2CeSb (PBE).

Values from the calculation:
E_form (uncorrected), meV/atom: -255
Relative energy among the computed polymorphs, kJ per mole of atoms: 22.9
Magnetic moment, μB/cell: 2.11

```
Tb2CeSb
1.0
3.997 0.000 0.000
1.998 3.461 0.000
1.998 1.154 9.676
Tb Ce Sb
2 1 1
Direct
0.067 0.067 0.799
0.266 0.266 0.201
0.500 0.500 0.499
0.666 0.666 0.001
```

***

Record 8
Entry from the Alexandria database: a relaxed structure of Tb2CeSb3 (PBE).

Values from the calculation:
E_form (uncorrected), meV/atom: -1114
Magnetic moment, μB/cell: 0.74

```
Tb2CeSb3
1.0
-0.614 4.368 -0.412
-5.920 -1.002 -1.804
1.281 -1.364 7.449
Tb Ce Sb
2 1 3
Direct
0.834 0.834 0.168
0.166 0.166 0.832
0.500 0.500 0.500
0.831 0.331 0.162
0.169 0.669 0.838
0.500 0.000 0.500
```

***

Record 9
Entry from the Alexandria database: a relaxed structure of Tb2CeSb (PBE).

Values from the calculation:
E_form (uncorrected), meV/atom: -236
Relative energy among the computed polymorphs, kJ per mole of atoms: 24.7
Magnetic moment, μB/cell: 1.44

```
Tb2CeSb
1.0
5.368 0.000 0.000
2.684 4.649 0.000
2.684 1.550 4.382
Sb Tb Ce
1 2 1
Direct
0.000 0.000 0.000
0.750 0.750 0.750
0.250 0.250 0.250
0.500 0.500 0.500
```

***

Record 10
Entry from the Alexandria database: a relaxed structure of Tb4CeSb5 (PBE).

Values from the calculation:
E_form (uncorrected), meV/atom: -1129
Relative energy among the computed polymorphs, kJ per mole of atoms: 0.0
Magnetic moment, μB/cell: 0.68

```
Tb4CeSb5
1.0
-0.340 0.084 -4.409
6.215 -0.456 -0.487
-3.758 -10.833 2.301
Tb Ce Sb
4 1 5
Direct
0.399 0.399 0.798
0.798 0.798 0.596
0.202 0.202 0.404
0.601 0.601 0.202
0.000 0.000 0.000
0.602 0.102 0.203
0.800 0.300 0.600
0.200 0.700 0.400
0.000 0.500 0.000
0.398 0.898 0.797
```

***

Record 11
Entry from the Alexandria database: a relaxed structure of Tb2CeSb (PBE).

Values from the calculation:
E_form (uncorrected), meV/atom: -492
Relative energy among the computed polymorphs, kJ per mole of atoms: 0.0
Magnetic moment, μB/cell: 0.40

```
Tb2CeSb
1.0
4.629 0.000 0.000
0.000 4.861 0.000
0.000 0.000 4.861
Sb Tb Ce
1 2 1
Direct
0.500 0.000 0.000
0.000 0.000 0.500
0.000 0.500 0.000
0.500 0.500 0.500
```

***

Record 12
Entry from the Alexandria database: a relaxed structure of Tb5Ce2Sb4 (PBE).

Values from the calculation:
E_form (uncorrected), meV/atom: -553
Magnetic moment, μB/cell: 0.48

```
Tb5Ce2Sb4
1.0
-2.398 -0.580 3.396
3.860 -6.975 1.535
5.948 9.542 3.237
Tb Ce Sb
5 2 4
Direct
0.098 0.719 0.196
0.902 0.281 0.804
0.171 0.337 0.341
0.500 0.000 0.000
0.829 0.663 0.659
0.277 0.949 0.555
0.723 0.051 0.445
0.686 0.635 0.373
0.966 0.699 0.931
0.314 0.365 0.627
0.034 0.301 0.069
```

***

Record 13
Entry from the Alexandria database: a relaxed structure of Tb3CeSb2 (PBE).

Values from the calculation:
E_form (uncorrected), meV/atom: -530
Magnetic moment, μB/cell: 3.37

```
Tb3CeSb2
1.0
7.125 0.000 0.000
0.000 7.465 0.000
-3.563 -3.732 7.307
Tb Ce Sb
6 2 4
Direct
0.500 0.250 0.000
0.500 0.750 0.000
0.797 0.047 0.593
0.203 0.453 0.407
0.203 0.953 0.407
0.797 0.547 0.593
0.000 0.500 0.000
0.000 0.000 0.000
0.518 0.351 0.701
0.817 0.149 0.299
0.183 0.851 0.701
0.482 0.649 0.299
```

***

Record 14
Entry from the Alexandria database: a relaxed structure of TbCe2Sb2 (PBE).

Values from the calculation:
E_form (uncorrected), meV/atom: -598
Magnetic moment, μB/cell: 3.11

```
TbCe2Sb2
1.0
-1.909 0.322 -4.666
1.191 -3.480 -3.463
-5.151 -4.496 -0.938
Tb Ce Sb
1 2 2
Direct
0.000 0.500 0.000
0.188 0.688 0.436
0.812 0.312 0.564
0.595 0.095 0.214
0.405 0.905 0.786
```

***

Record 15
Entry from the Alexandria database: a relaxed structure of TbCe3Sb3 (PBE).

Values from the calculation:
E_form (uncorrected), meV/atom: -781
Magnetic moment, μB/cell: 8.03

```
TbCe3Sb3
1.0
9.193 0.000 0.000
4.596 7.961 0.000
4.596 2.654 6.261
Tb Ce Sb
2 6 6
Direct
0.331 0.331 0.007
0.669 0.669 0.993
0.340 0.829 0.740
0.829 0.091 0.740
0.091 0.340 0.740
0.909 0.660 0.260
0.171 0.909 0.260
0.660 0.171 0.260
0.311 0.530 0.236
0.923 0.311 0.236
0.530 0.923 0.236
0.470 0.077 0.764
0.077 0.689 0.764
0.689 0.470 0.764
```

***

Record 16
Entry from the Alexandria database: a relaxed structure of TbCeSb (PBE).

Values from the calculation:
E_form (uncorrected), meV/atom: -489
Magnetic moment, μB/cell: 2.60

```
TbCeSb
1.0
-2.495 -4.241 0.695
-1.341 -2.763 -3.907
6.031 -6.557 -0.595
Tb Ce Sb
2 2 2
Direct
0.711 0.711 0.867
0.289 0.289 0.133
0.857 0.857 0.428
0.143 0.143 0.572
0.584 0.584 0.248
0.416 0.416 0.752
```

***

Record 17
Entry from the Alexandria database: a relaxed structure of Tb3Ce2Sb3 (PBE).

Values from the calculation:
E_form (uncorrected), meV/atom: -900
Magnetic moment, μB/cell: 4.39

```
Tb3Ce2Sb3
1.0
6.246 0.000 0.000
0.000 9.197 0.000
0.000 -4.599 7.965
Tb Ce Sb
6 4 6
Direct
0.750 0.253 0.000
0.750 0.747 0.747
0.750 0.000 0.253
0.250 0.747 0.000
0.250 0.253 0.253
0.250 0.000 0.747
0.000 0.333 0.667
0.500 0.667 0.333
0.000 0.667 0.333
0.500 0.333 0.667
0.750 0.619 0.000
0.750 0.381 0.381
0.750 0.000 0.619
0.250 0.381 0.000
0.250 0.619 0.619
0.250 0.000 0.381
```

***

Record 18
Entry from the Alexandria database: a relaxed structure of TbCeSb2 (PBE).

Values from the calculation:
E_form (uncorrected), meV/atom: -975
Relative energy among the computed polymorphs, kJ per mole of atoms: 11.8
Magnetic moment, μB/cell: 0.87

```
TbCeSb2
1.0
-3.048 -0.641 3.135
-1.617 -4.050 0.715
3.905 -2.854 6.328
Tb Ce Sb
1 1 2
Direct
0.497 0.497 0.508
0.669 0.669 0.992
0.084 0.084 0.749
0.250 0.250 0.251
```

***

Record 19
Entry from the Alexandria database: a relaxed structure of TbCeSb (PBE).

Values from the calculation:
E_form (uncorrected), meV/atom: -672
Magnetic moment, μB/cell: 5.15

```
TbCeSb
1.0
4.790 0.000 0.000
0.000 4.415 0.000
0.000 0.000 16.075
Ce Tb Sb
4 4 4
Direct
0.250 0.497 0.067
0.750 0.997 0.433
0.250 0.003 0.567
0.750 0.503 0.933
0.750 0.497 0.253
0.250 0.997 0.247
0.750 0.003 0.753
0.250 0.503 0.747
0.750 0.997 0.105
0.250 0.497 0.395
0.750 0.503 0.605
0.250 0.003 0.895
```

***

Record 20
Entry from the Alexandria database: a relaxed structure of TbCeSb (PBE).

Values from the calculation:
E_form (uncorrected), meV/atom: -578
Magnetic moment, μB/cell: 1.00

```
TbCeSb
1.0
4.068 0.000 0.000
0.000 4.068 0.000
-2.034 -2.034 5.170
Sb Tb Ce
1 1 1
Direct
0.290 0.290 0.581
0.930 0.930 0.859
0.630 0.630 0.260
```